# 1
A PBEsol-optimized structure of Ta2BeCd, computed with meta-GGA SCAN.

Structure (extended XYZ):
```
4
Lattice="-2.443 -3.130 -2.097 -2.608 -2.778 2.376 -4.468 0.398 -0.196" Properties=species:S:1:pos:R:3 pbc="T T T"
Ta -2.380 -1.378 0.021
Ta -7.139 -4.133 0.062
Cd -4.759 -2.755 0.041
Be 0.000 0.000 0.000
```

Summary:
Calculated total energy = -41.43 eV per atom
D(E_F) = 3.381 states/eV/f.u.
Space group = No. 225
Energy relative to the lowest polymorph listed for this composition = 0.407 eV per atom
Crystal system = cubic

=====

# 2
A PBEsol-optimized structure of LiMnPd2, computed with meta-GGA SCAN.

Structure (extended XYZ):
```
4
Lattice="-0.652 -2.289 -3.523 -2.825 -3.177 0.022 -3.653 0.388 -2.141" Properties=species:S:1:pos:R:3 pbc="T T T"
Mn -3.565 -2.539 -2.821
Pd -5.348 -3.808 -4.232
Pd -1.783 -1.269 -1.411
Li 0.000 0.000 0.000
```

Summary:
Calculated total energy = -22.10 eV per atom
D(E_F) = 0.884 states/eV/f.u.
Space group = No. 225
Crystal system = cubic